# 1
Here is an optimized crystal structure of BaAl2Te4 from Alexandria. Energies are from PBEsol.

Computed properties:
As for the energy: -30.4 eV per formula unit. The energy above the lowest structure with this stoichiometry is 0 meV per atom. For the energy relative to the elements, uncorrected, the calculation gives -5.975 eV per formula unit. The value obtained for the calculated volume is 34.2 A^3/atom.

a = 6.6591 Å, b = 8.4758 Å, c = 8.4758 Å
α = 90.00°, β = 90.00°, γ = 90.00°
Closest atoms and distances in Å follow each position.
Positions (direct):
Te  0.7485  0.1710  0.6710  2 Al 2.63-2.65
Te  0.2515  0.8290  0.6710  2 Al 2.63-2.65
Te  0.7485  0.6710  0.8290  2 Al 2.63-2.65
Te  0.2515  0.1710  0.3290  2 Al 2.63-2.65
Te  0.2515  0.3290  0.8290  2 Al 2.63-2.65
Te  0.7485  0.8290  0.3290  2 Al 2.63-2.65
Te  0.7485  0.3290  0.1710  2 Al 2.63-2.65
Te  0.2515  0.6710  0.1710  2 Al 2.63-2.65
Al  0.0000  0.5000  0.0000  4 Te 2.65
Al  0.5000  0.0000  0.5000  4 Te 2.63
Al  0.0000  0.0000  0.5000  4 Te 2.65
Al  0.5000  0.5000  0.0000  4 Te 2.63
Ba  0.0000  0.5000  0.5000  8 Te 3.56
Ba  0.0000  0.0000  0.0000  8 Te 3.56


# 2
Here is an optimized crystal structure of Hf3ScMo from Alexandria. Energies are from PBEsol.

Computed properties:
As for the energy: -41.6 eV per formula unit. The value obtained for the calculated volume is 21.5 A^3/atom. The calculation puts the formation energy from the elements at 1.6577 eV per atom.

a = 4.7534 Å, b = 4.7534 Å, c = 4.7534 Å
α = 90.00°, β = 90.00°, γ = 90.00°
Closest atoms and distances in Å follow each position.
Positions (direct):
Hf  0.0000  0.0000  0.5000  2 Sc 2.38
Hf  0.0000  0.5000  0.0000  2 Sc 2.38
Hf  0.5000  0.0000  0.0000  2 Sc 2.38
Sc  0.0000  0.0000  0.0000  6 Hf 2.38
Mo  0.5000  0.5000  0.5000  12 Hf 3.36


# 3
Here is an optimized crystal structure of RbBaZnRh2 from Alexandria. Energies are from PBEsol.

Computed properties:
As for the energy: -17.9 eV per formula unit. The value obtained for the calculated volume is 25.5 A^3/atom. The calculation puts the formation energy from the elements at 0.6256 eV per atom.

a = 4.8046 Å, b = 4.8046 Å, c = 5.5283 Å
α = 90.00°, β = 90.00°, γ = 90.00°
Closest atoms and distances in Å follow each position.
Positions (direct):
Zn  0.0000  0.0000  0.0000  4 Rh 2.40
Rb  0.5000  0.5000  0.5000  4 Ba 3.40, 8 Rh 3.66
Rh  0.5000  0.0000  0.0000  2 Zn 2.40
Rh  0.0000  0.5000  0.0000  2 Zn 2.40
Ba  0.0000  0.0000  0.5000  2 Zn 2.76